First-principles (PBE-GGA) data for a relaxed PrTlFeSe3 crystal, as listed in the Open Quantum Materials Database.

a = 8.9804 Å, b = 8.9804 Å, c = 9.2796 Å
α = 107.79°, β = 107.79°, γ = 27.82°
Last column: nearest neighbours and their distance in Å.
Positions (direct):
Pr 0.1804 0.1804 0.1185  6 Se 2.94-3.02
Pr 0.8196 0.8196 0.8815  6 Se 2.94-3.02
Tl 0.1279 0.1279 0.5717  4 Se 3.02-3.38
Tl 0.8721 0.8721 0.4283  4 Se 3.02-3.38
Fe 0.4977 0.4977 0.8475  4 Se 2.49-2.58
Fe 0.5023 0.5023 0.1525  4 Se 2.49-2.58
Se 0.0000 0.0000 0.0000  4 Fe 2.58
Se 0.3499 0.3499 0.1205  1 Fe 2.58
Se 0.3523 0.3523 0.6942  1 Fe 2.49
Se 0.5000 0.5000 0.5000  4 Tl 3.02, 2 Fe 3.24
Se 0.6477 0.6477 0.3058  1 Fe 2.49
Se 0.6501 0.6501 0.8795  1 Fe 2.58

As for the crystal system: monoclinic. For the theoretical density, the calculation gives 6.4 Mg/m³. Its space group is No. 12. For the energy, the calculation gives -5.09 eV/atom.



First-principles (PBE-GGA) data for a relaxed CsBMo crystal, as listed in the Open Quantum Materials Database.

a = 4.5215 Å, b = 4.5215 Å, c = 4.5215 Å
α = 60.00°, β = 60.00°, γ = 60.00°
Last column: nearest neighbours and their distance in Å.
Positions (direct):
Cs 0.0000 0.0000 0.0000  4 Mo 2.77
B 0.5000 0.5000 0.5000  4 Mo 2.77
Mo 0.7500 0.7500 0.7500  4 B 2.77, 4 Cs 2.77

As for the crystal system: cubic. For the theoretical density, the calculation gives 6.1 Mg/m³. Its space group is No. 216. For the energy, the calculation gives -3.67 eV/atom.



First-principles (PBE-GGA) data for a relaxed SmInPO crystal, as listed in the Open Quantum Materials Database.

a = 5.7252 Å, b = 5.7252 Å, c = 4.9846 Å
α = 90.00°, β = 90.00°, γ = 90.00°
Last column: nearest neighbours and their distance in Å.
Positions (direct):
Sm 0.2500 0.7500 0.0000  2 O 2.49
Sm 0.7500 0.2500 0.0000  2 O 2.49
In 0.2500 0.2500 0.4920  2 P 2.49-2.50
In 0.7500 0.7500 0.5080  2 P 2.49-2.50
P 0.2500 0.2500 0.9908  2 In 2.49-2.50
P 0.7500 0.7500 0.0092  2 In 2.49-2.50
O 0.2500 0.7500 0.5000  2 Sm 2.49
O 0.7500 0.2500 0.5000  2 Sm 2.49

As for the crystal system: tetragonal. For the theoretical density, the calculation gives 6.3 Mg/m³. Its space group is No. 129. For the energy, the calculation gives -5.69 eV/atom.



First-principles (PBE-GGA) data for a relaxed In4IrAu crystal, as listed in the Open Quantum Materials Database.

a = 4.5795 Å, b = 4.5795 Å, c = 6.5078 Å
α = 90.00°, β = 90.00°, γ = 90.00°
Last column: nearest neighbours and their distance in Å.
Positions (direct):
In 0.0000 0.5000 0.2382  2 Ir 2.77, 2 Au 2.85
In 0.0000 0.5000 0.7618  2 Ir 2.77, 2 Au 2.85
In 0.5000 0.0000 0.2382  2 Ir 2.77, 2 Au 2.85
In 0.5000 0.0000 0.7618  2 Ir 2.77, 2 Au 2.85
Ir 0.0000 0.0000 0.0000  8 In 2.77
Au 0.5000 0.5000 0.5000  8 In 2.85

As for the crystal system: tetragonal. For the theoretical density, the calculation gives 10.3 Mg/m³. Its space group is No. 123. For the energy, the calculation gives -4.05 eV/atom.



First-principles (PBE-GGA) data for a relaxed KRb2NiBr6 crystal, as listed in the Open Quantum Materials Database.

a = 7.8756 Å, b = 7.8756 Å, c = 7.8756 Å
α = 60.00°, β = 60.00°, γ = 60.00°
Last column: nearest neighbours and their distance in Å.
Positions (direct):
K 0.0000 0.0000 0.0000  6 Br 3.10
Rb 0.2500 0.2500 0.2500  12 Br 3.95
Rb 0.7500 0.7500 0.7500  12 Br 3.95
Ni 0.5000 0.5000 0.5000  6 Br 2.47
Br 0.2781 0.2781 0.7219  1 Ni 2.47
Br 0.2781 0.7219 0.2781  1 Ni 2.47
Br 0.2781 0.7219 0.7219  1 Ni 2.47
Br 0.7219 0.2781 0.2781  1 Ni 2.47
Br 0.7219 0.2781 0.7219  1 Ni 2.47
Br 0.7219 0.7219 0.2781  1 Ni 2.47

As for the crystal system: cubic. For the theoretical density, the calculation gives 3.6 Mg/m³. Its space group is No. 225. For the energy, the calculation gives -2.96 eV/atom.



First-principles (PBE-GGA) data for a relaxed TmScRe crystal, as listed in the Open Quantum Materials Database.

a = 4.5922 Å, b = 4.5922 Å, c = 4.5922 Å
α = 60.00°, β = 60.00°, γ = 60.00°
Last column: nearest neighbours and their distance in Å.
Positions (direct):
Tm 0.0000 0.0000 0.0000  4 Sc 2.81
Sc 0.7500 0.7500 0.7500  4 Re 2.81, 4 Tm 2.81
Re 0.5000 0.5000 0.5000  4 Sc 2.81

As for the crystal system: cubic. For the formation energy from the elements, the calculation gives 935 meV per atom. For the theoretical density, the calculation gives 9.7 Mg/m³. Its space group is No. 216. For the energy, the calculation gives -6.81 eV/atom.



First-principles (PBE-GGA) data for a relaxed Nd3Zr3NiTe2 crystal, as listed in the Open Quantum Materials Database.

a = 8.3503 Å, b = 8.3503 Å, c = 3.7155 Å
α = 90.00°, β = 90.00°, γ = 120.00°
Last column: nearest neighbours and their distance in Å.
Positions (direct):
Nd 0.0000 0.7533 0.0000  2 Ni 2.77
Nd 0.2467 0.2467 0.0000  2 Ni 2.77
Nd 0.7533 0.0000 0.0000  2 Ni 2.77
Zr 0.0000 0.4153 0.5000  4 Te 3.12, 2 Nd 3.38, 1 Ni 3.47
Zr 0.4153 0.0000 0.5000  4 Te 3.12, 2 Nd 3.38, 1 Ni 3.47
Zr 0.5847 0.5847 0.5000  4 Te 3.12, 2 Nd 3.38, 1 Ni 3.47
Ni 0.0000 0.0000 0.5000  6 Nd 2.77
Te 0.3333 0.6667 0.0000  6 Zr 3.12, 3 Nd 3.21
Te 0.6667 0.3333 0.0000  6 Zr 3.12, 3 Nd 3.21

As for the crystal system: hexagonal. For the theoretical density, the calculation gives 7.6 Mg/m³. Its space group is No. 189. For the energy, the calculation gives -6.16 eV/atom.



First-principles (PBE-GGA) data for a relaxed PrTmHg crystal, as listed in the Open Quantum Materials Database.

a = 5.1635 Å, b = 5.1635 Å, c = 5.1635 Å
α = 60.00°, β = 60.00°, γ = 60.00°
Last column: nearest neighbours and their distance in Å.
Positions (direct):
Pr 0.0000 0.0000 0.0000  4 Hg 3.16
Tm 0.5000 0.5000 0.5000  4 Hg 3.16
Hg 0.2500 0.2500 0.2500  4 Pr 3.16, 4 Tm 3.16

As for the crystal system: cubic. For the formation energy from the elements, the calculation gives -95 meV per atom. For the theoretical density, the calculation gives 8.7 Mg/m³. Its space group is No. 216. For the energy, the calculation gives -3.28 eV/atom.



First-principles (PBE-GGA) data for a relaxed CoBiW4N2 crystal, as listed in the Open Quantum Materials Database.

a = 2.9237 Å, b = 2.9237 Å, c = 15.2670 Å
α = 90.00°, β = 90.00°, γ = 120.00°
Last column: nearest neighbours and their distance in Å.
Positions (direct):
Co 0.0000 0.0000 0.0000  6 W 2.65, 6 Co 2.92
Bi 0.3333 0.6667 0.5000  6 Bi 2.92
W 0.0000 0.0000 0.3128  3 N 2.15
W 0.0000 0.0000 0.6872  3 N 2.15
W 0.3333 0.6667 0.1336  3 N 2.20
W 0.3333 0.6667 0.8664  3 N 2.20
N 0.6667 0.3333 0.2256  6 W 2.15-2.20
N 0.6667 0.3333 0.7744  6 W 2.15-2.20

As for the crystal system: hexagonal. For the theoretical density, the calculation gives 15.2 Mg/m³. Its space group is No. 187. For the energy, the calculation gives -9.45 eV/atom.



First-principles (PBE-GGA) data for a relaxed CuSiHgIr crystal, as listed in the Open Quantum Materials Database.

a = 4.4347 Å, b = 4.4347 Å, c = 4.4347 Å
α = 60.00°, β = 60.00°, γ = 60.00°
Last column: nearest neighbours and their distance in Å.
Positions (direct):
Cu 0.0000 0.0000 0.0000  4 Hg 2.72, 4 Si 2.72
Si 0.7500 0.7500 0.7500  4 Ir 2.72, 4 Cu 2.72
Hg 0.2500 0.2500 0.2500  4 Ir 2.72, 4 Cu 2.72
Ir 0.5000 0.5000 0.5000  4 Hg 2.72, 4 Si 2.72

As for the crystal system: cubic. For the theoretical density, the calculation gives 13.0 Mg/m³. Its space group is No. 216. For the energy, the calculation gives -4.27 eV/atom.



First-principles (PBE-GGA) data for a relaxed La2Mg4PtAu crystal, as listed in the Open Quantum Materials Database.

a = 8.2941 Å, b = 5.7038 Å, c = 5.7038 Å
α = 45.34°, β = 90.00°, γ = 90.00°
Last column: nearest neighbours and their distance in Å.
Positions (direct):
La 0.0000 0.0000 0.0000  3 Au 3.03-3.13
La 0.5000 0.1197 0.1197  3 Pt 3.02-3.14
Mg 0.2011 0.7106 0.7106  1 Pt 2.79, 2 Au 2.88
Mg 0.3094 0.4070 0.4070  2 Pt 2.82, 1 Au 2.85, 2 Mg 3.15
Mg 0.6906 0.4070 0.4070  2 Pt 2.82, 1 Au 2.85, 2 Mg 3.15
Mg 0.7989 0.7106 0.7106  1 Pt 2.79, 2 Au 2.88
Pt 0.5000 0.8328 0.8328  6 Mg 2.79-2.82, 1 La 3.02
Au 0.0000 0.2882 0.2882  6 Mg 2.85-2.88, 3 La 3.03-3.13

As for the crystal system: orthorhombic. For the theoretical density, the calculation gives 6.6 Mg/m³. Its space group is No. 38. For the energy, the calculation gives -3.80 eV/atom.



First-principles (PBE-GGA) data for a relaxed Li3IrO4 crystal, as listed in the Open Quantum Materials Database.

a = 5.0759 Å, b = 5.9070 Å, c = 5.1387 Å
α = 90.00°, β = 110.11°, γ = 90.00°
Last column: nearest neighbours and their distance in Å.
Positions (direct):
Li 0.0000 0.0977 0.2500  6 O 2.05-2.29
Li 0.0000 0.3606 0.7500  6 O 2.02-2.19
Li 0.0000 0.6394 0.2500  6 O 2.02-2.19
Li 0.0000 0.9023 0.7500  6 O 2.05-2.29
Li 0.5000 0.1160 0.7500  6 O 2.04-2.14
Li 0.5000 0.8840 0.2500  6 O 2.04-2.14
Ir 0.5000 0.3611 0.2500  6 O 1.94-2.04
Ir 0.5000 0.6389 0.7500  6 O 1.94-2.04
O 0.2557 0.1353 0.0143  1 Ir 1.94, 5 Li 2.02-2.13
O 0.2557 0.8647 0.5143  1 Ir 1.94, 5 Li 2.02-2.13
O 0.2712 0.3881 0.4986  2 Ir 2.01-2.04, 3 Li 2.13-2.19
O 0.2712 0.6119 0.9986  2 Ir 2.01-2.04, 3 Li 2.13-2.19
O 0.7288 0.3881 0.0014  2 Ir 2.01-2.04, 3 Li 2.13-2.19
O 0.7288 0.6119 0.5014  2 Ir 2.01-2.04, 3 Li 2.13-2.19
O 0.7443 0.1353 0.4857  1 Ir 1.94, 5 Li 2.02-2.13
O 0.7443 0.8647 0.9857  1 Ir 1.94, 5 Li 2.02-2.13

As for the crystal system: monoclinic. For the theoretical density, the calculation gives 6.4 Mg/m³. Its space group is No. 13. For the energy, the calculation gives -5.77 eV/atom.



First-principles (PBE-GGA) data for a relaxed HfHg2B crystal, as listed in the Open Quantum Materials Database.

a = 4.6910 Å, b = 4.6910 Å, c = 4.6910 Å
α = 60.00°, β = 60.00°, γ = 60.00°
Last column: nearest neighbours and their distance in Å.
Positions (direct):
Hf 0.0000 0.0000 0.0000  4 B 2.87, 4 Hg 2.87
Hg 0.2500 0.2500 0.2500  4 Hf 2.87, 4 Hg 2.87
Hg 0.5000 0.5000 0.5000  4 B 2.87, 4 Hg 2.87
B 0.7500 0.7500 0.7500  4 Hf 2.87, 4 Hg 2.87

As for the crystal system: cubic. For the theoretical density, the calculation gives 13.4 Mg/m³. Its space group is No. 216. For the energy, the calculation gives -3.50 eV/atom.



First-principles (PBE-GGA) data for a relaxed La3Zn3NiPt2 crystal, as listed in the Open Quantum Materials Database.

a = 7.4381 Å, b = 7.4381 Å, c = 4.0170 Å
α = 90.00°, β = 90.00°, γ = 120.00°
Last column: nearest neighbours and their distance in Å.
Positions (direct):
La 0.0000 0.5923 0.0000  4 Pt 3.02, 1 Ni 3.03, 4 Zn 3.31
La 0.4077 0.4077 0.0000  4 Pt 3.02, 1 Ni 3.03, 4 Zn 3.31
La 0.5923 0.0000 0.0000  4 Pt 3.02, 1 Ni 3.03, 4 Zn 3.31
Zn 0.0000 0.2235 0.5000  2 Ni 2.61, 2 Zn 2.88
Zn 0.2235 0.0000 0.5000  2 Ni 2.61, 2 Zn 2.88
Zn 0.7765 0.7765 0.5000  2 Ni 2.61, 2 Zn 2.88
Ni 0.0000 0.0000 0.0000  6 Zn 2.61
Pt 0.3333 0.6667 0.5000  3 Zn 2.97, 6 La 3.02
Pt 0.6667 0.3333 0.5000  3 Zn 2.97, 6 La 3.02

As for the crystal system: hexagonal. For the formation energy from the elements, the calculation gives -757 meV per atom. For the theoretical density, the calculation gives 9.2 Mg/m³. Its space group is No. 189. For the energy, the calculation gives -4.78 eV/atom.



First-principles (PBE-GGA) data for a relaxed NaYNb crystal, as listed in the Open Quantum Materials Database.

a = 5.1361 Å, b = 5.1361 Å, c = 5.1361 Å
α = 60.00°, β = 60.00°, γ = 60.00°
Last column: nearest neighbours and their distance in Å.
Positions (direct):
Na 0.0000 0.0000 0.0000  4 Nb 3.15
Y 0.5000 0.5000 0.5000  4 Nb 3.15
Nb 0.7500 0.7500 0.7500  4 Y 3.15, 4 Na 3.15

As for the crystal system: cubic. For the theoretical density, the calculation gives 3.5 Mg/m³. Its space group is No. 216. For the energy, the calculation gives -4.58 eV/atom.



First-principles (PBE-GGA) data for a relaxed SmHoGe2Au2 crystal, as listed in the Open Quantum Materials Database.

a = 4.4916 Å, b = 4.4916 Å, c = 7.4049 Å
α = 90.00°, β = 90.00°, γ = 120.00°
Last column: nearest neighbours and their distance in Å.
Positions (direct):
Sm 0.0000 0.0000 0.0000  6 Ge 3.03-3.40, 3 Au 3.08
Ho 0.0000 0.0000 0.4984  6 Au 2.99-3.31, 6 Ge 3.01-3.35
Ge 0.3333 0.6667 0.2129  3 Au 2.67
Ge 0.6667 0.3333 0.7038  3 Au 2.65
Au 0.3333 0.6667 0.7752  3 Ge 2.65
Au 0.6667 0.3333 0.2980  3 Ge 2.67, 3 Ho 2.99

As for the crystal system: trigonal. For the theoretical density, the calculation gives 11.0 Mg/m³. Its space group is No. 156. For the energy, the calculation gives -5.01 eV/atom.



First-principles (PBE-GGA) data for a relaxed GdYPO crystal, as listed in the Open Quantum Materials Database.

a = 4.3249 Å, b = 4.3249 Å, c = 8.6515 Å
α = 90.00°, β = 90.00°, γ = 90.00°
Last column: nearest neighbours and their distance in Å.
Positions (direct):
Gd 0.2500 0.7500 0.0000  4 P 2.77, 4 Gd 3.06
Gd 0.7500 0.2500 0.0000  4 P 2.77, 4 Gd 3.06
Y 0.2500 0.2500 0.3998  4 O 2.33
Y 0.7500 0.7500 0.6002  4 O 2.33
P 0.2500 0.2500 0.8007  4 Gd 2.77
P 0.7500 0.7500 0.1993  4 Gd 2.77
O 0.2500 0.7500 0.5000  4 Y 2.33
O 0.7500 0.2500 0.5000  4 Y 2.33

As for the crystal system: tetragonal. For the theoretical density, the calculation gives 6.0 Mg/m³. Its space group is No. 129. For the energy, the calculation gives -7.24 eV/atom.



First-principles (PBE-GGA) data for a relaxed PrHoSn2 crystal, as listed in the Open Quantum Materials Database.

a = 3.3627 Å, b = 6.9745 Å, c = 6.9745 Å
α = 53.88°, β = 90.00°, γ = 90.00°
Last column: nearest neighbours and their distance in Å.
Positions (direct):
Pr 0.0000 0.0000 0.0000  3 Sn 3.10-3.17, 2 Pr 3.36
Ho 0.0000 0.2831 0.2831  3 Sn 2.99-3.19
Sn 0.0000 0.5235 0.5235  1 Sn 2.82, 1 Ho 2.99
Sn 0.0000 0.7504 0.7504  1 Sn 2.82, 1 Pr 3.10

As for the crystal system: orthorhombic. For the theoretical density, the calculation gives 6.8 Mg/m³. Its space group is No. 38. For the energy, the calculation gives -4.28 eV/atom.



First-principles (PBE-GGA) data for a relaxed Mo3WC4 crystal, as listed in the Open Quantum Materials Database.

a = 10.1144 Å, b = 10.1144 Å, c = 10.1144 Å
α = 162.82°, β = 162.81°, γ = 24.39°
Last column: nearest neighbours and their distance in Å.
Positions (direct):
Mo 0.0000 0.0000 0.0000  5 C 2.14-2.15
Mo 0.3981 0.3981 0.0000  5 C 2.14-2.16
Mo 0.6460 0.1460 0.5000  5 C 2.14-2.21
W 0.2482 0.7482 0.5000  5 C 2.14-2.15
C 0.1402 0.6402 0.5000  1 W 2.14, 4 Mo 2.14
C 0.5075 0.5075 0.0000  5 Mo 2.14-2.16
C 0.7580 0.2580 0.5000  4 W 2.15, 1 Mo 2.21
C 0.8913 0.8913 0.0000  5 Mo 2.14-2.15

As for the crystal system: orthorhombic. For the theoretical density, the calculation gives 9.6 Mg/m³. Its space group is No. 44. For the energy, the calculation gives -9.95 eV/atom.



First-principles (PBE-GGA) data for a relaxed HfZrTlCu crystal, as listed in the Open Quantum Materials Database.

a = 4.8969 Å, b = 4.8969 Å, c = 4.8969 Å
α = 60.00°, β = 60.00°, γ = 60.00°
Last column: nearest neighbours and their distance in Å.
Positions (direct):
Hf 0.0000 0.0000 0.0000  4 Cu 3.00, 4 Zr 3.00
Zr 0.2500 0.2500 0.2500  4 Tl 3.00, 4 Hf 3.00
Tl 0.5000 0.5000 0.5000  4 Cu 3.00, 4 Zr 3.00
Cu 0.7500 0.7500 0.7500  4 Tl 3.00, 4 Hf 3.00

As for the crystal system: cubic. For the theoretical density, the calculation gives 10.8 Mg/m³. Its space group is No. 216. For the energy, the calculation gives -5.74 eV/atom.